The following is a SCAN calculation of HfHgN3 at its PBEsol-relaxed geometry, from Alexandria via LeMat-Bulk.

Lattice parameters (Å, degrees): 4.199 4.199 4.199 90.00 90.00 90.00
Last column: magnetic moment on the atom in μB.
Sites, in units of the cell vectors:
Hf: 0.000 0.000 0.000  -0.14
Hg: 0.500 0.500 0.500  -0.08
N: 0.000 0.500 0.000  0.85
N: 0.000 0.000 0.500  0.85
N: 0.500 0.000 0.000  0.85

The calculation puts the magnetic moment at 3.278 μB per formula unit. For the formation energy (no corrections), the calculation gives 0.632 eV/atom. The calculated volume comes out at 14.8 Å³/atom.